This record from the Alexandria database describes a relaxed structure of Ag3HgN. The functional is GGA-PBE.

Total magnetic moment in μB per formula unit: 0.00
ΔE to the lowest computed polymorph in eV per atom: 0.000
Calculated volume in Å³ per cell: 89.94
Total energy in eV/f.u.: -14.4
D(E_F) in states/eV/atom: 0.059

Lattice parameters (Å, degrees): 4.480 4.480 4.480 90.00 90.00 90.00
Space group Pm-3m (No. 221)
One atom of each set of equivalent atoms:
1 Ag 0.000 0.000 0.500 x3
2 Hg 0.500 0.500 0.500 x1
3 N 0.000 0.000 0.000 x1